Material: CsCoHg2Cl8
Method: DFT, PBE-GGA
State: optimized geometry

a = 6.2996 Å, b = 6.3092 Å, c = 10.2933 Å
α = 75.42°, β = 75.68°, γ = 66.58°
Fractional coordinates of all 12 atoms:
Cs: 0.0000 0.0000 0.0000
Co: 0.5000 0.5000 0.5000
Hg: 0.2257 0.2273 0.3216
Hg: 0.7743 0.7727 0.6784
Cl: 0.2451 0.6989 0.6639
Cl: 0.2777 0.2769 0.5394
Cl: 0.2966 0.7575 0.3373
Cl: 0.3117 0.3140 0.0770
Cl: 0.6883 0.6860 0.9230
Cl: 0.7034 0.2425 0.6627
Cl: 0.7223 0.7231 0.4606
Cl: 0.7549 0.3011 0.3361

## Properties
Formation energy from raw total energies, meV per atom: -796
Uncorrected energy, eV/atom: -2.7402